Entry from the Alexandria database: Zr2ReOs at its PBEsol-relaxed geometry (SCAN). Values from VASP.

Quantum ESPRESSO input file:
```
&SYSTEM
  ibrav = 0, nat = 4, ntyp = 3
/
ATOMIC_SPECIES
Zr 91.22 Zr.upf
Re 186.21 Re.upf
Os 190.23 Os.upf
CELL_PARAMETERS angstrom
2.9013 0.0000 0.0000
0.0000 4.5514 0.0000
-1.0696 0.0000 5.1741
ATOMIC_POSITIONS crystal
Zr 0.0000 0.0000 0.0000
Zr 0.2674 0.5000 0.7336
Re 0.5064 0.0000 0.4929
Os 0.7562 0.5000 0.2405
```

DFT total energy = -51.261 eV per atom
M_tot = 0.00 μB/f.u.
Space group = No. 6
Energy of formation from the pure elements = -65 kJ/mol of formula units